1.
PBE-GGA HfCo2H, relaxed; ΔE to the lowest computed polymorph = 0.0 meV/atom; density = 11.0 g/cm³; space-group type = No. 122; calculated volume = 89 Å³ per cell
1.0
5.0182 0.0000 0.0000
0.0000 5.0182 0.0000
2.5091 2.5091 3.5504
Co Hf H
4 2 2
Direct
0.3750 0.5941 0.7500 Co
0.4059 0.1250 0.2500 Co
0.3441 0.6250 0.2500 Co
0.8750 0.6559 0.7500 Co
0.7500 0.2500 0.5000 Hf
0.0000 0.0000 0.0000 Hf
0.2500 0.7500 0.5000 H
0.5000 0.5000 0.0000 H

---

2.
PBE-GGA Rb2PuMgBr6, relaxed; density = 4.1 g/cm³; energy relative to the elements, uncorrected = -15.345 eV/f.u.; space-group type = No. 166; calculated volume = 743 Å³ per cell
1.0
-7.2134 -2.6169 1.7651
-4.5223 -3.1666 -5.6141
1.3185 -14.4306 1.5559
Br Rb Mg Pu
12 4 2 2
Direct
0.3749 0.8641 0.3861 Br
0.3749 0.3749 0.3861 Br
0.1985 0.1985 0.8863 Br
0.8641 0.3749 0.3861 Br
0.6251 0.6251 0.6139 Br
0.2832 0.8015 0.1137 Br
0.7168 0.1985 0.8863 Br
0.8015 0.8015 0.1137 Br
0.1359 0.6251 0.6139 Br
0.8015 0.2832 0.1137 Br
0.1985 0.7168 0.8863 Br
0.6251 0.1359 0.6139 Br
0.6984 0.6984 0.9048 Rb
0.8655 0.8655 0.4034 Rb
0.3016 0.3016 0.0952 Rb
0.1345 0.1345 0.5966 Rb
0.0000 0.0000 0.0000 Mg
0.5000 0.5000 0.5000 Mg
0.4142 0.4142 0.7573 Pu
0.5858 0.5858 0.2427 Pu

---

| no. | D(E_F) (states/eV/atom) |
| --- | --- |
| 1 | 0.75 |
| 2 | 1.73 |